--- A ---
# LaInCo3 GGA-PBE optimized geometry
# - calculated volume (Å³ per atom) = 21.58
data_LaInCo3
_chemical_formula_sum 'La1 In1 Co3'
_cell_length_a 4.761
_cell_length_b 4.761
_cell_length_c 4.761
_cell_angle_alpha 90.00
_cell_angle_beta 90.00
_cell_angle_gamma 90.00
_space_group_name_H-M_alt 'P m -3 m'
_space_group_IT_number 221
_space_group_name_Hall '-P 4 2 3'
loop_
_atom_site_label
_atom_site_type_symbol
_atom_site_fract_x
_atom_site_fract_y
_atom_site_fract_z
La1 La 0.000 0.000 0.000
In1 In 0.500 0.500 0.500
Co1 Co 0.000 0.500 0.500

--- B ---
# LaInCo3 GGA-PBE optimized geometry
# - calculated volume (Å³ per atom) = 20.21
data_LaInCo3
_chemical_formula_sum 'La1 In1 Co3'
_cell_length_a 4.658
_cell_length_b 4.658
_cell_length_c 4.658
_cell_angle_alpha 90.00
_cell_angle_beta 90.00
_cell_angle_gamma 90.00
_space_group_name_H-M_alt 'P m -3 m'
_space_group_IT_number 221
_space_group_name_Hall '-P 4 2 3'
loop_
_atom_site_label
_atom_site_type_symbol
_atom_site_fract_x
_atom_site_fract_y
_atom_site_fract_z
La1 La 0.000 0.000 0.000
In1 In 0.500 0.500 0.500
Co1 Co 0.000 0.000 0.500

Relative stability in kJ/mol of atoms, measured from the most stable structure: A 0.0; B 52.4

--- A ---
# La6InCo2 GGA-PBE optimized geometry
# - calculated volume (Å³ per atom) = 29.16
data_La6InCo2
_chemical_formula_sum 'La24 In4 Co8'
_cell_length_a 9.509
_cell_length_b 10.386
_cell_length_c 10.630
_cell_angle_alpha 90.00
_cell_angle_beta 90.00
_cell_angle_gamma 90.00
_space_group_name_H-M_alt 'I m m m'
_space_group_IT_number 71
_space_group_name_Hall '-I 2 2'
loop_
_atom_site_label
_atom_site_type_symbol
_atom_site_fract_x
_atom_site_fract_y
_atom_site_fract_z
La1 La 0.000 0.205 0.227
La2 La 0.184 0.500 0.167
La3 La 0.199 0.327 0.500
In1 In 0.000 0.000 0.000
In2 In 0.000 0.000 0.500
Co1 Co 0.000 0.282 0.000
Co2 Co 0.000 0.500 0.358

--- B ---
# La6InCo2 GGA-PBE optimized geometry
# - calculated volume (Å³ per atom) = 28.48
data_La6InCo2
_chemical_formula_sum 'La12 In2 Co4'
_cell_length_a 11.423
_cell_length_b 4.919
_cell_length_c 9.161
_cell_angle_alpha 90.00
_cell_angle_beta 95.29
_cell_angle_gamma 90.00
_space_group_name_H-M_alt 'C 1 2/m 1'
_space_group_IT_number 12
loop_
_space_group_symop_operation_xyz
'x,y,z'
'-x,-y,-z'
'-x,y,-z'
'x,-y,z'
'x+1/2,y+1/2,z'
'-x+1/2,-y+1/2,-z'
'-x+1/2,y+1/2,-z'
'x+1/2,-y+1/2,z'
loop_
_atom_site_label
_atom_site_type_symbol
_atom_site_fract_x
_atom_site_fract_y
_atom_site_fract_z
La1 La 0.100 0.000 0.369
La2 La 0.104 0.500 0.680
La3 La 0.205 0.500 0.115
In1 In 0.000 0.000 0.000
Co1 Co 0.245 0.500 0.382

Relative stability in kJ/mol of atoms, measured from the most stable structure: A 0.0; B 3.2

--- A ---
# La4InCo GGA-PBE optimized geometry
# - calculated volume (Å³ per atom) = 30.47
data_La4InCo
_chemical_formula_sum 'La16 In4 Co4'
_cell_length_a 8.959
_cell_length_b 14.554
_cell_length_c 6.190
_cell_angle_alpha 90.00
_cell_angle_beta 115.03
_cell_angle_gamma 90.00
_space_group_name_H-M_alt 'C 1 2/c 1'
_space_group_IT_number 15
loop_
_space_group_symop_operation_xyz
'x,y,z'
'-x,-y,-z'
'-x,y,-z+1/2'
'x,-y,z+1/2'
'x+1/2,y+1/2,z'
'-x+1/2,-y+1/2,-z'
'-x+1/2,y+1/2,-z+1/2'
'x+1/2,-y+1/2,z+1/2'
loop_
_atom_site_label
_atom_site_type_symbol
_atom_site_fract_x
_atom_site_fract_y
_atom_site_fract_z
La1 La 0.115 0.186 0.078
La2 La 0.241 0.433 0.357
In1 In 0.000 0.381 0.750
Co1 Co 0.000 0.007 0.250

--- B ---
# La4InCo GGA-PBE optimized geometry
# - calculated volume (Å³ per atom) = 30.14
data_La4InCo
_chemical_formula_sum 'La16 In4 Co4'
_cell_length_a 17.388
_cell_length_b 7.212
_cell_length_c 6.132
_cell_angle_alpha 90.00
_cell_angle_beta 109.82
_cell_angle_gamma 90.00
_space_group_name_H-M_alt 'C 1 2/m 1'
_space_group_IT_number 12
loop_
_space_group_symop_operation_xyz
'x,y,z'
'-x,-y,-z'
'-x,y,-z'
'x,-y,z'
'x+1/2,y+1/2,z'
'-x+1/2,-y+1/2,-z'
'-x+1/2,y+1/2,-z'
'x+1/2,-y+1/2,z'
loop_
_atom_site_label
_atom_site_type_symbol
_atom_site_fract_x
_atom_site_fract_y
_atom_site_fract_z
La1 La 0.000 0.241 0.000
La2 La 0.119 0.244 0.615
La3 La 0.195 0.500 0.204
In1 In 0.193 0.000 0.195
Co1 Co 0.031 0.500 0.343

--- C ---
# La4InCo GGA-PBE optimized geometry
# - calculated volume (Å³ per atom) = 30.94
data_La4InCo
_chemical_formula_sum 'La16 In4 Co4'
_cell_length_a 9.055
_cell_length_b 9.055
_cell_length_c 9.055
_cell_angle_alpha 90.00
_cell_angle_beta 90.00
_cell_angle_gamma 90.00
_space_group_name_H-M_alt 'F -4 3 m'
_space_group_IT_number 216
_space_group_name_Hall 'F -4 2 3'
loop_
_atom_site_label
_atom_site_type_symbol
_atom_site_fract_x
_atom_site_fract_y
_atom_site_fract_z
La1 La 0.125 0.125 0.125
In1 In 0.000 0.000 0.500
Co1 Co 0.250 0.250 0.750

Relative stability in kJ/mol of atoms, measured from the most stable structure: A 4.3; B 0.0; C 76.8

--- A ---
# La6InCo GGA-PBE optimized geometry
# - calculated volume (Å³ per atom) = 31.73
data_La6InCo
_chemical_formula_sum 'La12 In2 Co2'
_cell_length_a 5.152
_cell_length_b 9.308
_cell_length_c 10.587
_cell_angle_alpha 90.00
_cell_angle_beta 90.00
_cell_angle_gamma 90.00
_space_group_name_H-M_alt 'A m m 2'
_space_group_IT_number 38
loop_
_space_group_symop_operation_xyz
'x,y,z'
'-x,-y,z'
'-x,y,z'
'x,-y,z'
'x,y+1/2,z+1/2'
'-x,-y+1/2,z+1/2'
'-x,y+1/2,z+1/2'
'x,-y+1/2,z+1/2'
loop_
_atom_site_label
_atom_site_type_symbol
_atom_site_fract_x
_atom_site_fract_y
_atom_site_fract_z
La1 La 0.000 0.000 0.000
La2 La 0.000 0.171 0.308
La3 La 0.500 0.000 0.816
La4 La 0.500 0.237 0.564
In1 In 0.000 0.000 0.610
Co1 Co 0.500 0.000 0.143

--- B ---
# La6InCo GGA-PBE optimized geometry
# - calculated volume (Å³ per atom) = 32.95
data_La6InCo
_chemical_formula_sum 'La12 In2 Co2'
_cell_length_a 8.193
_cell_length_b 10.260
_cell_length_c 6.503
_cell_angle_alpha 90.00
_cell_angle_beta 105.29
_cell_angle_gamma 90.00
_space_group_name_H-M_alt 'C 1 2/m 1'
_space_group_IT_number 12
loop_
_space_group_symop_operation_xyz
'x,y,z'
'-x,-y,-z'
'-x,y,-z'
'x,-y,z'
'x+1/2,y+1/2,z'
'-x+1/2,-y+1/2,-z'
'-x+1/2,y+1/2,-z'
'x+1/2,-y+1/2,z'
loop_
_atom_site_label
_atom_site_type_symbol
_atom_site_fract_x
_atom_site_fract_y
_atom_site_fract_z
La1 La 0.109 0.195 0.289
La2 La 0.215 0.500 0.102
In1 In 0.000 0.500 0.500
Co1 Co 0.000 0.000 0.000

Relative stability in kJ/mol of atoms, measured from the most stable structure: A 4.7; B 0.0

--- A ---
# La5In2Co GGA-PBE optimized geometry
# - calculated volume (Å³ per atom) = 31.49
data_La5In2Co
_chemical_formula_sum 'La10 In4 Co2'
_cell_length_a 8.238
_cell_length_b 12.398
_cell_length_c 4.933
_cell_angle_alpha 90.00
_cell_angle_beta 90.00
_cell_angle_gamma 90.00
_space_group_name_H-M_alt 'P b a m'
_space_group_IT_number 55
loop_
_space_group_symop_operation_xyz
'x,y,z'
'-x,-y,-z'
'-x,-y,z'
'x,y,-z'
'x+1/2,-y+1/2,-z'
'-x+1/2,y+1/2,z'
'-x+1/2,y+1/2,-z'
'x+1/2,-y+1/2,z'
loop_
_atom_site_label
_atom_site_type_symbol
_atom_site_fract_x
_atom_site_fract_y
_atom_site_fract_z
La1 La 0.000 0.000 0.000
La2 La 0.124 0.307 0.000
La3 La 0.184 0.568 0.500
In1 In 0.083 0.833 0.500
Co1 Co 0.000 0.500 0.000

--- B ---
# La5In2Co GGA-PBE optimized geometry
# - calculated volume (Å³ per atom) = 32.09
data_La5In2Co
_chemical_formula_sum 'La10 In4 Co2'
_cell_length_a 7.490
_cell_length_b 7.490
_cell_length_c 9.152
_cell_angle_alpha 90.00
_cell_angle_beta 90.00
_cell_angle_gamma 90.00
_space_group_name_H-M_alt 'I 4 m m'
_space_group_IT_number 107
_space_group_name_Hall 'I 4 -2'
loop_
_atom_site_label
_atom_site_type_symbol
_atom_site_fract_x
_atom_site_fract_y
_atom_site_fract_z
La1 La 0.000 0.000 0.000
La2 La 0.247 0.247 0.255
In1 In 0.000 0.500 0.013
Co1 Co 0.000 0.000 0.707

Relative stability in kJ/mol of atoms, measured from the most stable structure: A 0.0; B 14.3

--- A ---
# La8InCo2 GGA-PBE optimized geometry
# - calculated volume (Å³ per atom) = 31.60
data_La8InCo2
_chemical_formula_sum 'La16 In2 Co4'
_cell_length_a 13.006
_cell_length_b 8.309
_cell_length_c 6.441
_cell_angle_alpha 90.00
_cell_angle_beta 92.92
_cell_angle_gamma 90.00
_space_group_name_H-M_alt 'C 1 2/m 1'
_space_group_IT_number 12
loop_
_space_group_symop_operation_xyz
'x,y,z'
'-x,-y,-z'
'-x,y,-z'
'x,-y,z'
'x+1/2,y+1/2,z'
'-x+1/2,-y+1/2,-z'
'-x+1/2,y+1/2,-z'
'x+1/2,-y+1/2,z'
loop_
_atom_site_label
_atom_site_type_symbol
_atom_site_fract_x
_atom_site_fract_y
_atom_site_fract_z
La1 La 0.100 0.000 0.198
La2 La 0.127 0.500 0.067
La3 La 0.158 0.218 0.685
In1 In 0.000 0.500 0.500
Co1 Co 0.215 0.500 0.508

--- B ---
# La8InCo2 GGA-PBE optimized geometry
# - calculated volume (Å³ per atom) = 30.48
data_La8InCo2
_chemical_formula_sum 'La16 In2 Co4'
_cell_length_a 9.166
_cell_length_b 14.196
_cell_length_c 5.244
_cell_angle_alpha 90.00
_cell_angle_beta 100.70
_cell_angle_gamma 90.00
_space_group_name_H-M_alt 'C 1 2/m 1'
_space_group_IT_number 12
loop_
_space_group_symop_operation_xyz
'x,y,z'
'-x,-y,-z'
'-x,y,-z'
'x,-y,z'
'x+1/2,y+1/2,z'
'-x+1/2,-y+1/2,-z'
'-x+1/2,y+1/2,-z'
'x+1/2,-y+1/2,z'
loop_
_atom_site_label
_atom_site_type_symbol
_atom_site_fract_x
_atom_site_fract_y
_atom_site_fract_z
La1 La 0.000 0.236 0.000
La2 La 0.104 0.000 0.785
La3 La 0.192 0.372 0.552
In1 In 0.000 0.500 0.000
Co1 Co 0.000 0.198 0.500

Relative stability in kJ/mol of atoms, measured from the most stable structure: A 1.1; B 0.0